Compound: YAs2W
Source: Alexandria via LeMat-Bulk
Functional: PBE-GGA
Structure: optimized geometry

Cell: 4.772 4.772 4.772 Å, 60.00 60.00 60.00°
Fractional coordinates of all 4 atoms:
1 Y 0.000 0.000 0.000
2 As 0.500 0.500 0.500
3 As 0.750 0.750 0.750
4 W 0.250 0.250 0.250

Computed properties:
VASP energy: -6.785 eV/atom
ΔH_f (0 K): 394 meV/atom
Energy above the most stable polymorph in this dataset: 3.33 eV per formula unit
SG: F-43m, No. 216



Compound: KCu3Ge
Source: Alexandria via LeMat-Bulk
Functional: PBE-GGA
Structure: optimized geometry

Cell: 4.994 4.994 4.994 Å, 90.00 90.00 90.00°
Fractional coordinates of all 5 atoms:
1 K 0.000 0.000 0.000
2 Cu 0.000 0.000 0.500
3 Cu 0.000 0.500 0.000
4 Cu 0.500 0.000 0.000
5 Ge 0.500 0.500 0.500

Computed properties:
VASP energy: -1.895 eV/atom
ΔH_f (0 K): 1706 meV/atom
Energy above the most stable polymorph in this dataset: 7.33 eV per formula unit
SG: Pm-3m, No. 221



Compound: Pb2F13
Source: Alexandria via LeMat-Bulk
Functional: PBE-GGA
Structure: optimized geometry

Cell: 7.638 7.638 7.638 Å, 65.25 65.25 65.25°
Fractional coordinates of all 15 atoms:
1 Pb 0.123 0.123 0.123
2 Pb 0.877 0.877 0.877
3 F 0.000 0.000 0.000
4 F 0.031 0.545 0.545
5 F 0.119 0.707 0.707
6 F 0.293 0.293 0.881
7 F 0.293 0.881 0.293
8 F 0.455 0.455 0.969
9 F 0.455 0.969 0.455
10 F 0.545 0.031 0.545
11 F 0.545 0.545 0.031
12 F 0.707 0.119 0.707
13 F 0.707 0.707 0.119
14 F 0.881 0.293 0.293
15 F 0.969 0.455 0.455

Computed properties:
VASP energy: -3.109 eV/atom
ΔE_f (raw): -993 meV/atom
SG: R-3m, No. 166



Please write out number 3 again, unchanged.
Compound: Pb2F13
Source: Alexandria via LeMat-Bulk
Functional: PBE-GGA
Structure: optimized geometry

Cell: 7.638 7.638 7.638 Å, 65.25 65.25 65.25°
Fractional coordinates of all 15 atoms:
1 Pb 0.123 0.123 0.123
2 Pb 0.877 0.877 0.877
3 F 0.000 0.000 0.000
4 F 0.031 0.545 0.545
5 F 0.119 0.707 0.707
6 F 0.293 0.293 0.881
7 F 0.293 0.881 0.293
8 F 0.455 0.455 0.969
9 F 0.455 0.969 0.455
10 F 0.545 0.031 0.545
11 F 0.545 0.545 0.031
12 F 0.707 0.119 0.707
13 F 0.707 0.707 0.119
14 F 0.881 0.293 0.293
15 F 0.969 0.455 0.455

Computed properties:
VASP energy: -3.109 eV/atom
ΔE_f (raw): -993 meV/atom
SG: R-3m, No. 166



Please write out number 2 again, unchanged.
Compound: KCu3Ge
Source: Alexandria via LeMat-Bulk
Functional: PBE-GGA
Structure: optimized geometry

Cell: 4.994 4.994 4.994 Å, 90.00 90.00 90.00°
Fractional coordinates of all 5 atoms:
1 K 0.000 0.000 0.000
2 Cu 0.000 0.000 0.500
3 Cu 0.000 0.500 0.000
4 Cu 0.500 0.000 0.000
5 Ge 0.500 0.500 0.500

Computed properties:
VASP energy: -1.895 eV/atom
ΔH_f (0 K): 1706 meV/atom
Energy above the most stable polymorph in this dataset: 7.33 eV per formula unit
SG: Pm-3m, No. 221